Entry 1:
Material: Nd4GaIr3
Method: DFT, PBE
State: relaxed

Structure (CIF):
```
data_Nd4GaIr3
_chemical_formula_sum 'Nd4 Ga1 Ir3'
_symmetry_space_group_name_H-M 'P m m 2'
_symmetry_Int_Tables_number 25
_symmetry_space_group_name_Hall 'P 2 -2'
_cell_length_a 4.0422
_cell_length_b 4.3796
_cell_length_c 10.9216
_cell_angle_alpha 90.00
_cell_angle_beta 90.00
_cell_angle_gamma 90.00
loop_
_atom_site_label
_atom_site_fract_x
_atom_site_fract_y
_atom_site_fract_z
_atom_site_occupancy
Nd1 0.0000 0.0000 0.0000 1
Nd2 0.0000 0.5000 0.2739 1
Nd3 0.5000 0.0000 0.4809 1
Nd4 0.5000 0.5000 0.7776 1
Ga1 0.0000 0.0000 0.6970 1
Ir1 0.0000 0.5000 0.5676 1
Ir2 0.5000 0.0000 0.2133 1
Ir3 0.5000 0.5000 0.0508 1
```

Computed properties:
ΔH_f (0 K) ... -0.640 eV per atom
DOS(E_F) ... 0.530 states/eV per atom



Entry 2:
Material: NbInCo
Method: DFT, PBE
State: relaxed

Structure (CIF):
```
data_NbInCo
_chemical_formula_sum 'Nb2 In2 Co2'
_symmetry_space_group_name_H-M 'I 4 m m'
_symmetry_Int_Tables_number 107
_symmetry_space_group_name_Hall 'I 4 -2'
_cell_length_a 3.0335
_cell_length_b 3.0335
_cell_length_c 10.8789
_cell_angle_alpha 90.00
_cell_angle_beta 90.00
_cell_angle_gamma 90.00
loop_
_atom_site_label
_atom_site_fract_x
_atom_site_fract_y
_atom_site_fract_z
_atom_site_occupancy
Nb1 0.0000 0.0000 0.0000 1
In1 0.0000 0.0000 0.7045 1
Co1 0.0000 0.0000 0.3717 1
```

Computed properties:
Distance to the lowest polymorph of the same formula ... 0 meV per atom
ΔH_f (0 K) ... -0.006 eV per atom
DOS(E_F) ... 0.948 states/eV per atom



Entry 3:
Material: TeSeBr2
Method: DFT, PBE
State: relaxed

Structure (CIF):
```
data_TeSeBr2
_chemical_formula_sum 'Te2 Se2 Br4'
_symmetry_space_group_name_H-M 'I 4/m m m'
_symmetry_Int_Tables_number 139
_symmetry_space_group_name_Hall '-I 4 2'
_cell_length_a 4.6846
_cell_length_b 4.6846
_cell_length_c 8.9984
_cell_angle_alpha 90.00
_cell_angle_beta 90.00
_cell_angle_gamma 90.00
loop_
_atom_site_label
_atom_site_fract_x
_atom_site_fract_y
_atom_site_fract_z
_atom_site_occupancy
Te1 0.0000 0.0000 0.0000 1
Se1 0.0000 0.0000 0.5000 1
Br1 0.0000 0.5000 0.2500 1
```

Computed properties:
Distance to the lowest polymorph of the same formula ... 676 meV per atom
Formation energy without anion corrections ... 2.0 eV per formula unit
DOS(E_F) ... 0.755 states/eV per atom



Entry 4:
Material: TaAgPb2
Method: DFT, PBE
State: relaxed

Structure (CIF):
```
data_TaAgPb2
_chemical_formula_sum 'Ta1 Ag1 Pb2'
_symmetry_space_group_name_H-M 'P 4 m m'
_symmetry_Int_Tables_number 99
_symmetry_space_group_name_Hall 'P 4 -2'
_cell_length_a 3.1253
_cell_length_b 3.1253
_cell_length_c 9.9546
_cell_angle_alpha 90.00
_cell_angle_beta 90.00
_cell_angle_gamma 90.00
loop_
_atom_site_label
_atom_site_fract_x
_atom_site_fract_y
_atom_site_fract_z
_atom_site_occupancy
Ta1 0.0000 0.0000 0.0000 1
Ag1 0.5000 0.5000 0.1875 1
Pb1 0.0000 0.0000 0.4158 1
Pb2 0.5000 0.5000 0.7647 1
```

Computed properties:
Distance to the lowest polymorph of the same formula ... 0 meV per atom
ΔH_f (0 K) ... 0.331 eV per atom
DOS(E_F) ... 0.372 states/eV per atom



Entry 5:
Material: Na2Sr7Li2
Method: DFT, PBE
State: relaxed

Structure (CIF):
```
data_Na2Sr7Li2
_chemical_formula_sum 'Na4 Sr14 Li4'
_symmetry_space_group_name_H-M 'C m m m'
_symmetry_Int_Tables_number 65
_symmetry_space_group_name_Hall '-C 2 2'
_cell_length_a 9.2658
_cell_length_b 13.4462
_cell_length_c 8.7009
_cell_angle_alpha 90.00
_cell_angle_beta 90.00
_cell_angle_gamma 90.00
loop_
_atom_site_label
_atom_site_fract_x
_atom_site_fract_y
_atom_site_fract_z
_atom_site_occupancy
Na1 0.1665 0.0000 0.0000 1
Sr1 0.0000 0.0000 0.5000 1
Sr2 0.0000 0.5000 0.2571 1
Sr3 0.2500 0.2500 0.2320 1
Li1 0.0000 0.2893 0.5000 1
```

Computed properties:
ΔH_f (0 K) ... 0.162 eV per atom
DOS(E_F) ... 1.142 states/eV per atom



Entry 6:
Material: NpPd6Pt2
Method: DFT, PBE
State: relaxed

Structure (CIF):
```
data_NpPd6Pt2
_chemical_formula_sum 'Np1 Pd6 Pt2'
_symmetry_space_group_name_H-M 'P -1'
_symmetry_Int_Tables_number 2
_symmetry_space_group_name_Hall '-P 1'
_cell_length_a 4.1018
_cell_length_b 4.9241
_cell_length_c 8.4523
_cell_angle_alpha 106.49
_cell_angle_beta 90.06
_cell_angle_gamma 114.56
loop_
_atom_site_label
_atom_site_fract_x
_atom_site_fract_y
_atom_site_fract_z
_atom_site_occupancy
Np1 0.0000 0.0000 0.0000 1
Pd1 0.0058 0.0115 0.3341 1
Pd2 0.3278 0.6556 0.7784 1
Pd3 0.3376 0.6755 0.1190 1
Pt1 0.3358 0.6720 0.4503 1
```

Computed properties:
Distance to the lowest polymorph of the same formula ... 0 meV per atom
ΔH_f (0 K) ... -0.234 eV per atom
DOS(E_F) ... 1.948 states/eV per atom



Entry 7:
Material: Ba3H12Ir2
Method: DFT, PBE
State: relaxed

Structure (CIF):
```
data_Ba3H12Ir2
_chemical_formula_sum 'Ba6 H24 Ir4'
_symmetry_space_group_name_H-M 'C 1 2/m 1'
_symmetry_Int_Tables_number 12
_symmetry_space_group_name_Hall '-C 2y'
_cell_length_a 11.0157
_cell_length_b 7.3200
_cell_length_c 6.3439
_cell_angle_alpha 90.00
_cell_angle_beta 94.14
_cell_angle_gamma 90.00
loop_
_atom_site_label
_atom_site_fract_x
_atom_site_fract_y
_atom_site_fract_z
_atom_site_occupancy
Ba1 0.0000 0.0000 0.0000 1
Ba2 0.1808 0.5000 0.3066 1
H1 0.0550 0.5000 0.8812 1
H2 0.1027 0.0000 0.6671 1
H3 0.1376 0.2894 0.7966 1
H4 0.1946 0.1339 0.2677 1
Ir1 0.1913 0.5000 0.7939 1
```

Computed properties:
Distance to the lowest polymorph of the same formula ... 306 meV per atom



Entry 8:
Material: RbSrCuO3
Method: DFT, PBE
State: relaxed

Structure (CIF):
```
data_RbSrCuO3
_chemical_formula_sum 'Rb4 Sr4 Cu4 O12'
_symmetry_space_group_name_H-M 'C 1 2/m 1'
_symmetry_Int_Tables_number 12
_symmetry_space_group_name_Hall '-C 2y'
_cell_length_a 13.4575
_cell_length_b 3.8730
_cell_length_c 8.0075
_cell_angle_alpha 90.00
_cell_angle_beta 106.04
_cell_angle_gamma 90.00
loop_
_atom_site_label
_atom_site_fract_x
_atom_site_fract_y
_atom_site_fract_z
_atom_site_occupancy
Rb1 0.1455 0.0000 0.0668 1
Sr1 0.1524 0.0000 0.5786 1
Cu1 0.0081 0.5000 0.2822 1
O1 0.0043 0.0000 0.2999 1
O2 0.1352 0.5000 0.7834 1
O3 0.1524 0.5000 0.3580 1
```

Computed properties:
Formation energy without anion corrections ... -8.9 eV per formula unit
DOS(E_F) ... 0.624 states/eV per atom



no.,total energy (eV per atom),total moment (μB/f.u.)
1,-6.725,0.00
2,-6.644,0.51
3,-1.984,0.00
4,-5.199,0.00
5,-1.496,0.00
6,-6.476,2.45
7,-4.013,0.00
8,-5.092,0.33